1.
Here is CuPt2Cl after structural relaxation from Alexandria via LeMat-Bulk. Energies are from GGA-PBE.

abc: 4.6047 2.9195 4.7076
angles: 90.96 90.00 90.00
Element x y z (fractional)
1 Cl 0.5000 0.2500 0.2500
2 Cu 0.5000 0.7500 0.7500
3 Pt 0.0000 0.4963 0.5067
4 Pt 0.0000 0.0037 0.9933

Summary:
- Formation energy (no corrections): 0.3292 eV/atom
- DOS(E_F): 1.053 states/eV/atom
- Size of the total moment: 0.000 μB per atom


2.
Here is CuPtCl2 after structural relaxation from Alexandria via LeMat-Bulk. Energies are from GGA-PBE.

abc: 4.5665 4.5665 4.5665
angles: 60.00 60.00 60.00
Element x y z (fractional)
1 Cl 0.7500 0.7500 0.7500
2 Cl 0.2500 0.2500 0.2500
3 Pt 0.5000 0.5000 0.5000
4 Cu 0.0000 0.0000 0.0000

Summary:
- Formation energy (no corrections): 0.5120 eV/atom
- DOS(E_F): 1.972 states/eV/atom
- Size of the total moment: 0.000 μB per atom


Number 1: E_tot -4.18 eV/atom. Number 2: E_tot -2.95 eV/atom.